This record from Alexandria describes crystalline Y2SiPt at its relaxed geometry. The functional is PBE.

Cell lengths 8.3266, 8.3266, 8.3266 Å; angles 137.62, 137.62, 61.48 degrees
Fractional coordinates of all 8 atoms:
Y  0.1249  0.6250  0.9999
Y  0.3750  0.3749  0.4999
Y  0.6251  0.1250  0.0001
Y  0.8750  0.8751  0.5001
Si  0.0000  0.0000  0.0000
Si  0.7500  0.2500  0.5000
Pt  0.2500  0.7500  0.5000
Pt  0.5000  0.5000  0.0000

Values from the calculation:
uncorrected formation energy	-0.19	eV/atom
crystal system	tetragonal
space group	I-42d

---

This record from Alexandria describes crystalline Rb2HgTePd at its relaxed geometry. The functional is PBE.

Cell lengths 7.0038, 7.0038, 5.6615 Å; angles 90.00, 90.00, 90.00 degrees
Fractional coordinates of all 5 atoms:
Rb  0.0000  0.5000  0.0000
Rb  0.5000  0.0000  0.0000
Hg  0.0000  0.0000  0.5000
Te  0.0000  0.0000  0.0000
Pd  0.5000  0.5000  0.5000

Values from the calculation:
uncorrected formation energy	0.08	eV/atom
crystal system	tetragonal
space group	P4/mmm

---

This record from Alexandria describes crystalline Dy2Y5Tm5 at its relaxed geometry. The functional is PBE.

Cell lengths 6.5678, 6.5678, 11.8931 Å; angles 106.38, 106.38, 50.17 degrees
Fractional coordinates of all 12 atoms:
Dy  0.0460  0.0460  0.2050
Dy  0.9540  0.9540  0.7950
Y  0.2871  0.2871  0.4612
Y  0.4552  0.4552  0.2945
Y  0.5000  0.5000  0.0000
Y  0.5448  0.5448  0.7055
Y  0.7129  0.7129  0.5388
Tm  0.0000  0.0000  0.5000
Tm  0.2108  0.2108  0.0373
Tm  0.2492  0.2492  0.7520
Tm  0.7508  0.7508  0.2480
Tm  0.7892  0.7892  0.9627

Values from the calculation:
crystal system	monoclinic
calculated formation energy	0.073	eV/atom
space group	C2/m

---

This record from Alexandria describes crystalline Ac3Zn2In9 at its relaxed geometry. The functional is PBE.

Cell lengths 9.3092, 9.3092, 9.3092 Å; angles 149.68, 105.01, 82.98 degrees
Fractional coordinates of all 14 atoms:
Ac  0.0000  0.0000  0.0000
Ac  0.3191  0.3191  0.0000
Ac  0.6809  0.6809  0.0000
Zn  0.2969  0.5000  0.7969
Zn  0.7031  0.5000  0.2031
In  0.0264  0.6563  0.3702
In  0.1404  0.8632  0.2773
In  0.2861  0.6563  0.6298
In  0.4141  0.1368  0.2773
In  0.5000  0.0000  0.5000
In  0.5859  0.8632  0.7227
In  0.7139  0.3437  0.3702
In  0.8596  0.1368  0.7227
In  0.9736  0.3437  0.6298

Values from the calculation:
crystal system	orthorhombic
calculated formation energy	-0.330	eV/atom
space group	Immm

---

This record from Alexandria describes crystalline Cd2AgHg at its relaxed geometry. The functional is PBE.

Cell lengths 3.2371, 3.2371, 9.4784 Å; angles 90.00, 90.00, 120.00 degrees
Fractional coordinates of all 4 atoms:
Cd  0.3333  0.6667  0.2389
Cd  0.6667  0.3333  0.7611
Ag  0.0000  0.0000  0.0000
Hg  0.0000  0.0000  0.5000

Values from the calculation:
crystal system	trigonal
calculated formation energy	0.008	eV/atom
space group	P-3m1

---

This record from Alexandria describes crystalline Ca4Tb3TmSe8 at its relaxed geometry. The functional is PBE.

Cell lengths 8.3170, 8.3170, 8.3170 Å; angles 59.15, 59.15, 59.15 degrees
Fractional coordinates of all 16 atoms:
Ca  0.0000  0.0000  0.0000
Ca  0.0000  0.5000  0.5000
Ca  0.5000  0.0000  0.5000
Ca  0.5000  0.5000  0.0000
Tb  0.0000  0.0000  0.5000
Tb  0.0000  0.5000  0.0000
Tb  0.5000  0.0000  0.0000
Tm  0.5000  0.5000  0.5000
Se  0.2491  0.2491  0.2491
Se  0.2520  0.7463  0.7463
Se  0.2537  0.2537  0.7480
Se  0.2537  0.7480  0.2537
Se  0.7463  0.2520  0.7463
Se  0.7463  0.7463  0.2520
Se  0.7480  0.2537  0.2537
Se  0.7509  0.7509  0.7509

Values from the calculation:
uncorrected formation energy	-1.87	eV/atom
crystal system	trigonal
space group	R-3m

---

This record from Alexandria describes crystalline Tm2CoSn at its relaxed geometry. The functional is PBE.

Cell lengths 3.3523, 3.3523, 7.7586 Å; angles 90.00, 90.00, 90.00 degrees
Fractional coordinates of all 4 atoms:
Tm  0.0000  0.0000  0.2053
Tm  0.0000  0.0000  0.7947
Co  0.5000  0.5000  0.0000
Sn  0.5000  0.5000  0.5000

Values from the calculation:
crystal system	tetragonal
calculated formation energy	-0.426	eV/atom
space group	P4/mmm

---

This record from Alexandria describes crystalline ZrTaMnCo at its relaxed geometry. The functional is PBE.

Cell lengths 4.4180, 4.4180, 4.4180 Å; angles 60.00, 60.00, 60.00 degrees
Fractional coordinates of all 4 atoms:
Zr  0.0000  0.0000  0.0000
Ta  0.5000  0.5000  0.5000
Mn  0.7500  0.7500  0.7500
Co  0.2500  0.2500  0.2500

Values from the calculation:
crystal system	cubic
calculated formation energy	-0.156	eV/atom
space group	F-43m

---

This record from Alexandria describes crystalline DyMgScAu at its relaxed geometry. The functional is PBE.

Cell lengths 5.0515, 5.0515, 5.0515 Å; angles 60.00, 60.00, 60.00 degrees
Fractional coordinates of all 4 atoms:
Dy  0.0000  0.0000  0.0000
Mg  0.7500  0.7500  0.7500
Sc  0.5000  0.5000  0.5000
Au  0.2500  0.2500  0.2500

Values from the calculation:
crystal system	cubic
calculated formation energy	-0.393	eV/atom
space group	F-43m

---

This record from Alexandria describes crystalline SrTlBi2P at its relaxed geometry. The functional is PBE.

Cell lengths 5.5641, 5.5641, 5.6350 Å; angles 90.00, 90.00, 90.00 degrees
Fractional coordinates of all 5 atoms:
Sr  0.0000  0.0000  0.0000
Tl  0.5000  0.5000  0.0000
Bi  0.0000  0.5000  0.5000
Bi  0.5000  0.0000  0.5000
P  0.0000  0.0000  0.5000

Values from the calculation:
crystal system	tetragonal
calculated formation energy	-0.099	eV/atom
space group	P4/mmm

---

This record from Alexandria describes crystalline BaLa2CdFe at its relaxed geometry. The functional is PBE.

Cell lengths 5.2734, 5.2734, 5.5615 Å; angles 90.00, 90.00, 90.00 degrees
Fractional coordinates of all 5 atoms:
Ba  0.0000  0.0000  0.0000
La  0.0000  0.5000  0.5000
La  0.5000  0.0000  0.5000
Cd  0.5000  0.5000  0.0000
Fe  0.5000  0.5000  0.5000

Values from the calculation:
crystal system	tetragonal
calculated formation energy	0.017	eV/atom
space group	P4/mmm

---

This record from Alexandria describes crystalline Ba2YSc at its relaxed geometry. The functional is PBE.

Cell lengths 7.4329, 7.4329, 7.4329 Å; angles 148.25, 128.79, 61.52 degrees
Fractional coordinates of all 4 atoms:
Ba  0.0000  0.0000  0.0000
Ba  0.7131  0.2131  0.5000
Y  0.2709  0.7709  0.5000
Sc  0.4707  0.4707  0.0000

Values from the calculation:
crystal system	orthorhombic
calculated formation energy	0.317	eV/atom
space group	Imm2

---

This record from Alexandria describes crystalline HfBRuRh2 at its relaxed geometry. The functional is PBE.

Cell lengths 4.1095, 4.1095, 4.1482 Å; angles 90.00, 90.00, 90.00 degrees
Fractional coordinates of all 5 atoms:
Hf  0.0000  0.0000  0.0000
B  0.5000  0.5000  0.5000
Ru  0.5000  0.5000  0.0000
Rh  0.0000  0.5000  0.5000
Rh  0.5000  0.0000  0.5000

Values from the calculation:
crystal system	tetragonal
calculated formation energy	-0.683	eV/atom
space group	P4/mmm

---

This record from Alexandria describes crystalline Tb2Ga2GeRh5 at its relaxed geometry. The functional is PBE.

Cell lengths 9.7679, 9.7679, 3.5281 Å; angles 90.00, 90.00, 90.00 degrees
Fractional coordinates of all 20 atoms:
Tb  0.1730  0.3270  0.0000
Tb  0.3270  0.8270  0.0000
Tb  0.6730  0.1730  0.0000
Tb  0.8270  0.6730  0.0000
Ga  0.1254  0.6254  0.0000
Ga  0.3746  0.1254  0.0000
Ga  0.6254  0.8746  0.0000
Ga  0.8746  0.3746  0.0000
Ge  0.0000  0.0000  0.0000
Ge  0.5000  0.5000  0.0000
Rh  0.0000  0.5000  0.5000
Rh  0.0664  0.7994  0.5000
Rh  0.2006  0.0664  0.5000
Rh  0.2994  0.5664  0.5000
Rh  0.4336  0.2994  0.5000
Rh  0.5000  0.0000  0.5000
Rh  0.5664  0.7006  0.5000
Rh  0.7006  0.4336  0.5000
Rh  0.7994  0.9336  0.5000
Rh  0.9336  0.2006  0.5000

Values from the calculation:
crystal system	tetragonal
calculated formation energy	-0.786	eV/atom
space group	P4/mbm

---

This record from Alexandria describes crystalline AcInF6 at its relaxed geometry. The functional is PBE.

Cell lengths 6.3891, 6.3891, 6.3891 Å; angles 60.00, 60.00, 60.00 degrees
Fractional coordinates of all 8 atoms:
Ac  0.0000  0.0000  0.0000
In  0.5000  0.5000  0.5000
F  0.2671  0.2671  0.7329
F  0.2671  0.7329  0.2671
F  0.2671  0.7329  0.7329
F  0.7329  0.2671  0.2671
F  0.7329  0.2671  0.7329
F  0.7329  0.7329  0.2671

Values from the calculation:
uncorrected formation energy	-3.34	eV/atom
crystal system	cubic
space group	Fm-3m

---

This record from Alexandria describes crystalline In3SiW at its relaxed geometry. The functional is PBE.

Cell lengths 5.2905, 5.2905, 5.2905 Å; angles 90.00, 90.00, 90.00 degrees
Fractional coordinates of all 5 atoms:
In  0.0000  0.0000  0.5000
In  0.0000  0.5000  0.0000
In  0.5000  0.0000  0.0000
Si  0.5000  0.5000  0.5000
W  0.0000  0.0000  0.0000

Values from the calculation:
uncorrected formation energy	1.15	eV/atom
crystal system	cubic
space group	Pm-3m

---

This record from Alexandria describes crystalline BaScPd2 at its relaxed geometry. The functional is PBE.

Cell lengths 6.5213, 6.5213, 6.5213 Å; angles 106.70, 106.70, 115.18 degrees
Fractional coordinates of all 8 atoms:
Ba  0.0000  0.0000  0.0000
Ba  0.7500  0.2500  0.5000
Sc  0.2500  0.7500  0.5000
Sc  0.5000  0.5000  0.0000
Pd  0.1824  0.6250  0.0574
Pd  0.3750  0.4324  0.5574
Pd  0.5676  0.1250  0.9426
Pd  0.8750  0.8176  0.4426

Values from the calculation:
crystal system	tetragonal
calculated formation energy	-0.308	eV/atom
space group	I-42d

---

This record from Alexandria describes crystalline BaCa4Be at its relaxed geometry. The functional is PBE.

Cell lengths 7.1089, 7.1089, 7.1089 Å; angles 60.00, 60.00, 60.00 degrees
Fractional coordinates of all 6 atoms:
Ba  0.0000  0.0000  0.0000
Ca  0.3757  0.3757  0.3757
Ca  0.3757  0.3757  0.8728
Ca  0.3757  0.8728  0.3757
Ca  0.8728  0.3757  0.3757
Be  0.7500  0.7500  0.7500

Values from the calculation:
crystal system	cubic
calculated formation energy	0.577	eV/atom
space group	F-43m

---

This record from Alexandria describes crystalline La6YTh at its relaxed geometry. The functional is PBE.

Cell lengths 5.2062, 5.2062, 10.4156 Å; angles 90.00, 90.00, 90.00 degrees
Fractional coordinates of all 8 atoms:
La  0.0000  0.0000  0.0000
La  0.0000  0.0000  0.5000
La  0.0000  0.5000  0.2442
La  0.0000  0.5000  0.7558
La  0.5000  0.0000  0.2442
La  0.5000  0.0000  0.7558
Y  0.5000  0.5000  0.5000
Th  0.5000  0.5000  0.0000

Values from the calculation:
crystal system	tetragonal
calculated formation energy	0.029	eV/atom
space group	P4/mmm

---

This record from Alexandria describes crystalline AlCd2Tc at its relaxed geometry. The functional is PBE.

Cell lengths 5.4564, 5.4564, 4.8552 Å; angles 96.96, 96.96, 30.03 degrees
Fractional coordinates of all 4 atoms:
Al  0.0000  0.0000  0.0000
Cd  0.2339  0.2339  0.7427
Cd  0.7661  0.7661  0.2573
Tc  0.5000  0.5000  0.5000

Values from the calculation:
crystal system	monoclinic
calculated formation energy	0.204	eV/atom
space group	C2/m

---

This record from Alexandria describes crystalline ZnTeI2Br at its relaxed geometry. The functional is PBE.

Cell lengths 5.4355, 5.4355, 5.6194 Å; angles 90.00, 90.00, 90.00 degrees
Fractional coordinates of all 5 atoms:
Zn  0.0000  0.0000  0.0000
Te  0.0000  0.0000  0.5000
I  0.0000  0.5000  0.0000
I  0.5000  0.0000  0.0000
Br  0.5000  0.5000  0.5000

Values from the calculation:
uncorrected formation energy	0.22	eV/atom
crystal system	tetragonal
space group	P4/mmm

---

This record from Alexandria describes crystalline Ce2CoN at its relaxed geometry. The functional is PBE.

Cell lengths 6.8486, 6.8486, 6.8486 Å; angles 30.38, 30.38, 30.38 degrees
Fractional coordinates of all 4 atoms:
Ce  0.2412  0.2412  0.2412
Ce  0.7588  0.7588  0.7588
Co  0.0000  0.0000  0.0000
N  0.5000  0.5000  0.5000

Values from the calculation:
uncorrected formation energy	-0.65	eV/atom
crystal system	trigonal
space group	R-3m

---

This record from Alexandria describes crystalline AcNbAs2 at its relaxed geometry. The functional is PBE.

Cell lengths 7.2002, 7.2002, 7.2002 Å; angles 32.68, 32.68, 32.68 degrees
Fractional coordinates of all 4 atoms:
Ac  0.0000  0.0000  0.0000
Nb  0.5000  0.5000  0.5000
As  0.2337  0.2337  0.2337
As  0.7663  0.7663  0.7663

Values from the calculation:
crystal system	trigonal
calculated formation energy	-0.824	eV/atom
space group	R-3m

---

This record from Alexandria describes crystalline OsAuIN2 at its relaxed geometry. The functional is PBE.

Cell lengths 3.8666, 3.8666, 6.0695 Å; angles 90.00, 90.00, 90.00 degrees
Fractional coordinates of all 5 atoms:
Os  0.0000  0.0000  0.0000
Au  0.5000  0.5000  0.5000
I  0.0000  0.0000  0.5000
N  0.0000  0.5000  0.0000
N  0.5000  0.0000  0.0000

Values from the calculation:
uncorrected formation energy	0.86	eV/atom
crystal system	tetragonal
space group	P4/mmm

---

This record from Alexandria describes crystalline Sr2AcInTe5 at its relaxed geometry. The functional is PBE.

Cell lengths 10.6606, 10.6606, 13.9409 Å; angles 90.00, 90.00, 155.12 degrees
Fractional coordinates of all 18 atoms:
Sr  0.1142  0.8858  0.5000
Sr  0.1220  0.8780  0.1410
Sr  0.8780  0.1220  0.6410
Sr  0.8858  0.1142  0.0000
Ac  0.2091  0.7909  0.8403
Ac  0.7909  0.2091  0.3403
In  0.4445  0.5555  0.2612
In  0.5555  0.4445  0.7612
Te  0.0447  0.9553  0.8828
Te  0.2920  0.7080  0.5066
Te  0.3184  0.6816  0.1702
Te  0.3647  0.6353  0.8242
Te  0.4953  0.5047  0.5844
Te  0.5047  0.4953  0.0844
Te  0.6353  0.3647  0.3242
Te  0.6816  0.3184  0.6702
Te  0.7080  0.2920  0.0066
Te  0.9553  0.0447  0.3828

Values from the calculation:
uncorrected formation energy	-1.27	eV/atom
crystal system	orthorhombic
space group	Cmc2_1

---

| no. | ρ (g cm⁻³) |
| --- | --- |
| 1 | 5.1 |
| 2 | 3.6 |
| 3 | 7.2 |
| 4 | 8.0 |
| 5 | 10.3 |
| 6 | 6.0 |
| 7 | 9.8 |
| 8 | 10.5 |
| 9 | 7.8 |
| 10 | 7.1 |
| 11 | 6.3 |
| 12 | 4.1 |
| 13 | 11.8 |
| 14 | 10.3 |
| 15 | 4.1 |
| 16 | 6.2 |
| 17 | 6.2 |
| 18 | 2.0 |
| 19 | 6.8 |
| 20 | 8.1 |
| 21 | 5.3 |
| 22 | 8.1 |
| 23 | 8.1 |
| 24 | 9.9 |
| 25 | 5.8 |